[1]
A geometry-optimized ReHgAu2 structure, computed with PBE.

a b c (Å): 2.9159 2.9159 29.1416
angles (deg): 90.00 90.00 120.00
Space group R-3m (No. 166, hexagonal axes)
Unique sites:
Re 0.0000 0.0000 0.0000 [3 per cell]
Hg 0.0000 0.0000 0.5000 [3 per cell]
Au 0.0000 0.0000 0.2557 [6 per cell]

Results
Fermi-level density of states in states/eV per atom: 0.91
Calculated total energy in eV/cell: -53.04
Calculated formation energy in meV per atom: 406

***

[2]
A geometry-optimized Re2HgAu structure, computed with PBE.

a b c (Å): 6.492 6.492 6.492
angles (deg): 90.00 90.00 90.00
Space group F-43m (No. 216)
Unique sites:
Re 0.000 0.000 0.000 [4 per cell]
Re 0.250 0.250 0.250 [4 per cell]
Hg 0.250 0.250 0.750 [4 per cell]
Au 0.000 0.000 0.500 [4 per cell]

Results
Fermi-level density of states in states/eV per atom: 1.12
Calculated total energy in eV/cell: -98.93
Calculated formation energy in meV per atom: 935

***

[3]
A geometry-optimized ReHg2Au structure, computed with PBE.

a b c (Å): 6.028 8.598 2.868
angles (deg): 90.00 90.00 90.00
Space group Cmmm (No. 65)
Unique sites:
Re 0.000 0.000 0.000 [2 per cell]
Hg 0.250 0.250 0.500 [4 per cell]
Au 0.000 0.500 0.000 [2 per cell]

Results
Fermi-level density of states in states/eV per atom: 0.68
Calculated total energy in eV/cell: -27.42
Energy above the most stable polymorph in this dataset in kcal/mol of atoms: 2.39
Calculated formation energy in meV per atom: 655

***

[4]
A geometry-optimized Re2HgAu structure, computed with PBE.

a b c (Å): 3.112 4.818 9.496
angles (deg): 90.00 90.00 90.00
Space group Imm2 (No. 44)
Unique sites:
Re 0.000 0.000 0.000 [2 per cell]
Re 0.000 0.500 0.305 [2 per cell]
Hg 0.000 0.500 0.768 [2 per cell]
Au 0.000 0.000 0.542 [2 per cell]

Results
Fermi-level density of states in states/eV per atom: 0.63
Calculated total energy in eV/cell: -51.14
Calculated formation energy in meV per atom: 727

***

[5]
A geometry-optimized ReHg2Au structure, computed with PBE.

a b c (Å): 5.210 2.880 5.378
angles (deg): 90.00 112.67 90.00
Space group P2/m (No. 10)
Unique sites:
Re 0.000 0.000 0.000 [1 per cell]
Hg 0.500 0.000 0.500 [1 per cell]
Hg 0.500 0.500 0.000 [1 per cell]
Au 0.000 0.500 0.500 [1 per cell]

Results
Fermi-level density of states in states/eV per atom: 0.48
Calculated total energy in eV/cell: -13.77
Energy above the most stable polymorph in this dataset in kcal/mol of atoms: 2.06
Calculated formation energy in meV per atom: 640

***

[6]
A geometry-optimized Re2HgAu structure, computed with PBE.

a b c (Å): 2.882 3.936 6.078
angles (deg): 90.00 90.00 90.00
Space group Pmm2 (No. 25)
Unique sites:
Re 0.000 0.000 0.000 [1 per cell]
Re 0.500 0.500 0.174 [1 per cell]
Hg 0.500 0.500 0.709 [1 per cell]
Au 0.000 0.000 0.451 [1 per cell]

Results
Fermi-level density of states in states/eV per atom: 0.77
Calculated total energy in eV/cell: -26.43
Calculated formation energy in meV per atom: 510

***

[7]
A geometry-optimized ReHgAu2 structure, computed with PBE.

a b c (Å): 4.359 4.359 7.669
angles (deg): 90.00 90.00 90.00
Space group I4/mmm (No. 139)
Unique sites:
Re 0.000 0.000 0.000 [2 per cell]
Hg 0.000 0.000 0.500 [2 per cell]
Au 0.000 0.500 0.250 [4 per cell]

Results
Fermi-level density of states in states/eV per atom: 0.47
Calculated total energy in eV/cell: -32.55
Calculated formation energy in meV per atom: 758

***

[8]
A geometry-optimized ReHg2Au structure, computed with PBE.

a b c (Å): 4.255 4.255 4.112
angles (deg): 90.00 90.00 90.00
Space group P4/mmm (No. 123)
Unique sites:
Re 0.000 0.000 0.000 [1 per cell]
Hg 0.000 0.500 0.500 [2 per cell]
Au 0.500 0.500 0.000 [1 per cell]

Results
Fermi-level density of states in states/eV per atom: 0.51
Calculated total energy in eV/cell: -13.31
Energy above the most stable polymorph in this dataset in kcal/mol of atoms: 4.72
Calculated formation energy in meV per atom: 755

***

[9]
A geometry-optimized ReHgAu2 structure, computed with PBE.

a b c (Å): 2.922 4.907 10.083
angles (deg): 90.00 90.00 90.00
Space group Cmm2 (No. 35)
Unique sites:
Re 0.000 0.000 0.000 [2 per cell]
Hg 0.000 0.500 0.748 [2 per cell]
Au 0.000 0.000 0.485 [2 per cell]
Au 0.000 0.500 0.235 [2 per cell]

Results
Fermi-level density of states in states/eV per atom: 0.60
Calculated total energy in eV/cell: -34.56
Calculated formation energy in meV per atom: 506

***

[10]
A geometry-optimized ReHg2Au structure, computed with PBE.

a b c (Å): 2.885 2.885 8.981
angles (deg): 90.00 90.00 90.00
Space group P4/mmm (No. 123)
Unique sites:
Re 0.000 0.000 0.000 [1 per cell]
Hg 0.500 0.500 0.241 [2 per cell]
Au 0.000 0.000 0.500 [1 per cell]

Results
Fermi-level density of states in states/eV per atom: 0.70
Calculated total energy in eV/cell: -13.66
Energy above the most stable polymorph in this dataset in kcal/mol of atoms: 2.66
Calculated formation energy in meV per atom: 666

***

[11]
A geometry-optimized ReHgAu2 structure, computed with PBE.

a b c (Å): 2.774 4.844 5.314
angles (deg): 90.00 90.00 90.00
Space group Pmm2 (No. 25)
Unique sites:
Re 0.000 0.000 0.000 [1 per cell]
Hg 0.000 0.500 0.317 [1 per cell]
Au 0.500 0.000 0.516 [1 per cell]
Au 0.500 0.500 0.834 [1 per cell]

Results
Fermi-level density of states in states/eV per atom: 0.74
Calculated total energy in eV/cell: -16.93
Calculated formation energy in meV per atom: 593

***

[12]
A geometry-optimized ReHgAu2 structure, computed with PBE.

a b c (Å): 6.630 6.630 6.630
angles (deg): 90.00 90.00 90.00
Space group F-43m (No. 216)
Unique sites:
Re 0.000 0.000 0.000 [4 per cell]
Hg 0.250 0.250 0.250 [4 per cell]
Au 0.000 0.000 0.500 [4 per cell]
Au 0.250 0.250 0.750 [4 per cell]

Results
Fermi-level density of states in states/eV per atom: 0.51
Calculated total energy in eV/cell: -64.62
Calculated formation energy in meV per atom: 788

***

[13]
A geometry-optimized Re2HgAu structure, computed with PBE.

a b c (Å): 2.790 4.851 10.223
angles (deg): 90.00 90.00 90.00
Space group Immm (No. 71)
Unique sites:
Re 0.000 0.000 0.238 [4 per cell]
Hg 0.000 0.500 0.000 [2 per cell]
Au 0.000 0.500 0.500 [2 per cell]

Results
Fermi-level density of states in states/eV per atom: 0.82
Calculated total energy in eV/cell: -50.47
Calculated formation energy in meV per atom: 811

***

[14]
A geometry-optimized ReHgAu2 structure, computed with PBE.

a b c (Å): 2.939 4.860 10.175
angles (deg): 90.00 90.00 90.00
Space group Cmmm (No. 65)
Unique sites:
Re 0.000 0.000 0.000 [2 per cell]
Hg 0.000 0.000 0.500 [2 per cell]
Au 0.000 0.500 0.236 [4 per cell]

Results
Fermi-level density of states in states/eV per atom: 0.49
Calculated total energy in eV/cell: -34.76
Calculated formation energy in meV per atom: 481

***

[15]
A geometry-optimized Re2HgAu structure, computed with PBE.

a b c (Å): 2.775 2.775 8.785
angles (deg): 90.00 90.00 90.00
Space group P4/mmm (No. 123)
Unique sites:
Re 0.000 0.000 0.239 [2 per cell]
Hg 0.500 0.500 0.500 [1 per cell]
Au 0.500 0.500 0.000 [1 per cell]

Results
Fermi-level density of states in states/eV per atom: 1.28
Calculated total energy in eV/cell: -24.81
Calculated formation energy in meV per atom: 916

***

[16]
A geometry-optimized ReHgAu2 structure, computed with PBE.

a b c (Å): 2.852 2.852 8.793
angles (deg): 90.00 90.00 90.00
Space group P4mm (No. 99)
Unique sites:
Re 0.000 0.000 0.000 [1 per cell]
Hg 0.500 0.500 0.748 [1 per cell]
Au 0.000 0.000 0.480 [1 per cell]
Au 0.500 0.500 0.225 [1 per cell]

Results
Fermi-level density of states in states/eV per atom: 0.91
Calculated total energy in eV/cell: -17.25
Calculated formation energy in meV per atom: 514

***

The calculation returns the following total magnetic moment values, one per record and in order: 0.0 0.0 0.0 0.0 0.0 0.0 4.7 0.6 0.0 0.7 0.0 9.3 0.0 0.0 0.0 0.0 μB/cell.